Entry 1:
CsMgAl3: relaxed, PBE.

Cell: 5.9517 5.9517 5.9517 Å, 90.00 90.00 90.00°
Positions (direct):
Cs (0.0000, 0.0000, 0.0000)
Mg (0.5000, 0.5000, 0.5000)
Al (0.0000, 0.0000, 0.5000)
Al (0.0000, 0.5000, 0.0000)
Al (0.5000, 0.0000, 0.0000)

Properties
Formation energy from the elements (meV per atom): 1685
E (eV per atom): -1.05
Polymorph energy (0 for the lowest one) (eV per atom): 1.0212
Space-group type: Pm-3m (221)
V (Å³ per atom): 42.16
DOS(E_F) (states/eV per cell): 7.70

---

Entry 2:
TcHg2TeCl: relaxed, PBE.

Cell: 5.5985 5.5985 5.2648 Å, 90.00 90.00 90.00°
Positions (direct):
Tc (0.0000, 0.0000, 0.0000)
Hg (0.0000, 0.5000, 0.5000)
Hg (0.5000, 0.0000, 0.5000)
Te (0.5000, 0.5000, 0.0000)
Cl (0.5000, 0.5000, 0.5000)

Properties
Energy relative to the elements, uncorrected (eV per atom): 1.206
E (eV per atom): -1.99
Space-group type: P4/mmm (123)
V (Å³ per atom): 33.00
DOS(E_F) (states/eV per cell): 4.07

---

Entry 3:
Ce2HoTh: relaxed, PBE.

Cell: 3.4808 3.4808 9.8595 Å, 90.00 90.00 90.00°
Positions (direct):
Ce (0.0000, 0.0000, 0.2433)
Ce (0.0000, 0.0000, 0.7567)
Ho (0.5000, 0.5000, 0.5000)
Th (0.5000, 0.5000, 0.0000)

Properties
Formation energy from the elements (meV per atom): 60
E (eV per atom): -5.91
Polymorph energy (0 for the lowest one) (eV per atom): 0.0039
Space-group type: P4/mmm (123)
V (Å³ per atom): 29.87
DOS(E_F) (states/eV per cell): 9.11

---

Entry 4:
HoInPt2: relaxed, PBE.

Cell: 3.4759 3.4759 6.4911 Å, 90.00 90.00 90.00°
Positions (direct):
Ho (0.0000, 0.0000, 0.0000)
In (0.0000, 0.0000, 0.5000)
Pt (0.5000, 0.5000, 0.2615)
Pt (0.5000, 0.5000, 0.7385)

Properties
Formation energy from the elements (meV per atom): -876
E (eV per atom): -5.73
Space-group type: P4/mmm (123)
V (Å³ per atom): 19.61
DOS(E_F) (states/eV per cell): 1.13

---

Entry 5:
MnGeSCl2: relaxed, PBE.

Cell: 4.9388 4.9388 4.9438 Å, 90.00 90.00 90.00°
Positions (direct):
Mn (0.0000, 0.0000, 0.0000)
Ge (0.5000, 0.5000, 0.5000)
S (0.5000, 0.5000, 0.0000)
Cl (0.0000, 0.5000, 0.5000)
Cl (0.5000, 0.0000, 0.5000)

Properties
Energy relative to the elements, uncorrected (eV per atom): 0.041
E (eV per atom): -4.28
Polymorph energy (0 for the lowest one) (eV per atom): 0.0000
Space-group type: P4/mmm (123)
V (Å³ per atom): 24.12
DOS(E_F) (states/eV per cell): 2.50

---

Entry 6:
RbLiBiSe3: relaxed, PBE.

Cell: 9.6164 4.4491 9.7351 Å, 90.00 116.68 90.00°
Positions (direct):
Rb (0.2319, 0.2500, 0.2333)
Rb (0.7681, 0.7500, 0.7667)
Li (0.1062, 0.2500, 0.5557)
Li (0.8938, 0.7500, 0.4443)
Bi (0.3152, 0.7500, 0.8338)
Bi (0.6848, 0.2500, 0.1662)
Se (0.0944, 0.2500, 0.8150)
Se (0.1795, 0.7500, 0.4898)
Se (0.4816, 0.7500, 0.1700)
Se (0.5184, 0.2500, 0.8300)
Se (0.8205, 0.2500, 0.5102)
Se (0.9056, 0.7500, 0.1850)

Properties
Energy relative to the elements, uncorrected (eV per atom): -0.746
E (eV per atom): -3.61
Space-group type: P2_1/m (11)
V (Å³ per atom): 31.01
DOS(E_F) (states/eV per cell): 4.18

---

Entry 7:
KYMo2: relaxed, PBE.

Cell: 6.9928 6.9928 6.9928 Å, 90.00 90.00 90.00°
Positions (direct):
K (0.0000, 0.0000, 0.0000)
K (0.0000, 0.5000, 0.5000)
K (0.5000, 0.0000, 0.5000)
K (0.5000, 0.5000, 0.0000)
Y (0.2500, 0.2500, 0.7500)
Y (0.2500, 0.7500, 0.2500)
Y (0.7500, 0.2500, 0.2500)
Y (0.7500, 0.7500, 0.7500)
Mo (0.0000, 0.0000, 0.5000)
Mo (0.0000, 0.5000, 0.0000)
Mo (0.2500, 0.2500, 0.2500)
Mo (0.2500, 0.7500, 0.7500)
Mo (0.5000, 0.0000, 0.0000)
Mo (0.5000, 0.5000, 0.5000)
Mo (0.7500, 0.2500, 0.7500)
Mo (0.7500, 0.7500, 0.2500)

Properties
Formation energy from the elements (meV per atom): 1234
E (eV per atom): -6.07
Polymorph energy (0 for the lowest one) (eV per atom): 0.7001
Space-group type: F-43m (216)
V (Å³ per atom): 21.37
DOS(E_F) (states/eV per cell): 16.83

---

Entry 8:
HfReBi3: relaxed, PBE.

Cell: 5.3310 5.3310 5.3310 Å, 90.00 90.00 90.00°
Positions (direct):
Hf (0.0000, 0.0000, 0.0000)
Re (0.5000, 0.5000, 0.5000)
Bi (0.0000, 0.5000, 0.5000)
Bi (0.5000, 0.0000, 0.5000)
Bi (0.5000, 0.5000, 0.0000)

Properties
Formation energy from the elements (meV per atom): 1209
E (eV per atom): -5.60
Polymorph energy (0 for the lowest one) (eV per atom): 0.0000
Space-group type: Pm-3m (221)
V (Å³ per atom): 30.30
DOS(E_F) (states/eV per cell): 5.15

---

Entry 9:
BeFe: relaxed, PBE.

Cell: 2.4084 2.4084 22.8521 Å, 90.00 90.00 120.00°
Positions (direct):
Be (0.0000, 0.0000, 0.1243)
Be (0.0000, 0.0000, 0.8757)
Be (0.3333, 0.6667, 0.5423)
Be (0.3333, 0.6667, 0.7910)
Be (0.6667, 0.3333, 0.2090)
Be (0.6667, 0.3333, 0.4577)
Fe (0.0000, 0.0000, 0.3762)
Fe (0.0000, 0.0000, 0.6238)
Fe (0.3333, 0.6667, 0.0428)
Fe (0.3333, 0.6667, 0.2905)
Fe (0.6667, 0.3333, 0.7095)
Fe (0.6667, 0.3333, 0.9572)

Properties
Formation energy from the elements (meV per atom): 78
E (eV per atom): -6.02
Space-group type: R-3m (166)
V (Å³ per atom): 9.57
DOS(E_F) (states/eV per cell): 6.66

---

Entry 10:
Tb3SmTmTh: relaxed, PBE.

Cell: 10.6731 3.5734 10.6768 Å, 90.00 109.30 90.00°
Positions (direct):
Tb (0.0427, 0.2500, 0.3708)
Tb (0.2061, 0.2500, 0.8792)
Tb (0.4568, 0.7500, 0.1270)
Tb (0.5432, 0.2500, 0.8730)
Tb (0.7939, 0.7500, 0.1208)
Tb (0.9573, 0.7500, 0.6292)
Sm (0.2924, 0.7500, 0.6240)
Sm (0.7076, 0.2500, 0.3760)
Tm (0.3742, 0.2500, 0.3727)
Tm (0.6258, 0.7500, 0.6273)
Th (0.1237, 0.7500, 0.1252)
Th (0.8763, 0.2500, 0.8748)

Properties
Formation energy from the elements (meV per atom): 24
E (eV per atom): -5.06
Space-group type: P2_1/m (11)
V (Å³ per atom): 32.03
DOS(E_F) (states/eV per cell): 16.67

---

Entry 11:
TbScPd: relaxed, PBE.

Cell: 4.7640 7.1129 7.1129 Å, 119.85 90.00 90.00°
Positions (direct):
Tb (0.0000, 0.0000, 0.0000)
Tb (0.0000, 0.4066, 0.8137)
Tb (0.0000, 0.8137, 0.4066)
Sc (0.5000, 0.1478, 0.4074)
Sc (0.5000, 0.4074, 0.1478)
Sc (0.5000, 0.6657, 0.6657)
Pd (0.0000, 0.4064, 0.4064)
Pd (0.5000, 0.0738, 0.7411)
Pd (0.5000, 0.7411, 0.0738)

Properties
Formation energy from the elements (meV per atom): -618
E (eV per atom): -6.00
Polymorph energy (0 for the lowest one) (eV per atom): 0.0000
Space-group type: Amm2 (38)
V (Å³ per atom): 23.23
DOS(E_F) (states/eV per cell): 11.73

---

Entry 12:
CrGaIrPd: relaxed, PBE.

Cell: 6.1418 6.1418 6.1418 Å, 90.00 90.00 90.00°
Positions (direct):
Cr (0.0000, 0.0000, 0.0000)
Cr (0.0000, 0.5000, 0.5000)
Cr (0.5000, 0.0000, 0.5000)
Cr (0.5000, 0.5000, 0.0000)
Ga (0.0000, 0.0000, 0.5000)
Ga (0.0000, 0.5000, 0.0000)
Ga (0.5000, 0.0000, 0.0000)
Ga (0.5000, 0.5000, 0.5000)
Ir (0.2500, 0.2500, 0.2500)
Ir (0.2500, 0.7500, 0.7500)
Ir (0.7500, 0.2500, 0.7500)
Ir (0.7500, 0.7500, 0.2500)
Pd (0.2500, 0.2500, 0.7500)
Pd (0.2500, 0.7500, 0.2500)
Pd (0.7500, 0.2500, 0.2500)
Pd (0.7500, 0.7500, 0.7500)

Properties
Formation energy from the elements (meV per atom): -243
E (eV per atom): -6.92
Space-group type: F-43m (216)
V (Å³ per atom): 14.48
DOS(E_F) (states/eV per cell): 16.14

---

Entry 13:
Mg3Ga4Hg2: relaxed, PBE.

Cell: 6.0107 6.0107 8.7080 Å, 116.48 116.48 42.42°
Positions (direct):
Mg (0.0000, 0.0000, 0.0000)
Mg (0.3307, 0.3307, 0.3571)
Mg (0.6693, 0.6693, 0.6429)
Ga (0.0183, 0.0183, 0.3623)
Ga (0.2309, 0.2309, 0.9112)
Ga (0.7691, 0.7691, 0.0888)
Ga (0.9817, 0.9817, 0.6377)
Hg (0.3762, 0.3762, 0.7268)
Hg (0.6238, 0.6238, 0.2732)

Properties
Formation energy from the elements (meV per atom): -92
E (eV per atom): -2.04
Space-group type: C2/m (12)
V (Å³ per atom): 20.71
DOS(E_F) (states/eV per cell): 2.16

---

Entry 14:
Ti2IN: relaxed, PBE.

Cell: 6.2365 6.2365 6.2365 Å, 90.00 90.00 90.00°
Positions (direct):
Ti (0.2500, 0.2500, 0.2500)
Ti (0.2500, 0.2500, 0.7500)
Ti (0.2500, 0.7500, 0.2500)
Ti (0.2500, 0.7500, 0.7500)
Ti (0.7500, 0.2500, 0.2500)
Ti (0.7500, 0.2500, 0.7500)
Ti (0.7500, 0.7500, 0.2500)
Ti (0.7500, 0.7500, 0.7500)
I (0.0000, 0.0000, 0.0000)
I (0.0000, 0.5000, 0.5000)
I (0.5000, 0.0000, 0.5000)
I (0.5000, 0.5000, 0.0000)
N (0.0000, 0.0000, 0.5000)
N (0.0000, 0.5000, 0.0000)
N (0.5000, 0.0000, 0.0000)
N (0.5000, 0.5000, 0.5000)

Properties
Energy relative to the elements, uncorrected (eV per atom): 0.384
E (eV per atom): -6.03
Space-group type: Fm-3m (225)
V (Å³ per atom): 15.16
DOS(E_F) (states/eV per cell): 0.82

---

Entry 15:
CrHIr: relaxed, PBE.

Cell: 2.7601 2.7601 4.2828 Å, 90.00 90.00 120.00°
Positions (direct):
Cr (0.0000, 0.0000, 0.0000)
H (0.6667, 0.3333, 0.8332)
Ir (0.3333, 0.6667, 0.4782)

Properties
E (eV per atom): -7.34
Polymorph energy (0 for the lowest one) (eV per atom): 0.0035
Space-group type: P3m1 (156)
V (Å³ per atom): 9.42
DOS(E_F) (states/eV per cell): 1.60

---

Entry 16:
Ac2Ga2Pd15: relaxed, PBE.

Cell: 7.0614 7.0614 7.0614 Å, 81.83 81.83 81.83°
Positions (direct):
Ac (0.1555, 0.1555, 0.1555)
Ac (0.8445, 0.8445, 0.8445)
Ga (0.4022, 0.4022, 0.4022)
Ga (0.5978, 0.5978, 0.5978)
Pd (0.0000, 0.5000, 0.5000)
Pd (0.1539, 0.1539, 0.6513)
Pd (0.1539, 0.6513, 0.1539)
Pd (0.2036, 0.5000, 0.7964)
Pd (0.2036, 0.7964, 0.5000)
Pd (0.3487, 0.8461, 0.8461)
Pd (0.5000, 0.0000, 0.5000)
Pd (0.5000, 0.2036, 0.7964)
Pd (0.5000, 0.5000, 0.0000)
Pd (0.5000, 0.7964, 0.2036)
Pd (0.6513, 0.1539, 0.1539)
Pd (0.7964, 0.2036, 0.5000)
Pd (0.7964, 0.5000, 0.2036)
Pd (0.8461, 0.3487, 0.8461)
Pd (0.8461, 0.8461, 0.3487)

Properties
Formation energy from the elements (meV per atom): -441
E (eV per atom): -5.29
Space-group type: R-3m (166)
V (Å³ per atom): 18.02
DOS(E_F) (states/eV per cell): 17.90

---

Entry 17:
TbPm7Th2: relaxed, PBE.

Cell: 9.4685 9.4685 5.6235 Å, 90.00 90.00 124.36°
Positions (direct):
Tb (0.0000, 0.0000, 0.0000)
Pm (0.0659, 0.2899, 0.5000)
Pm (0.2179, 0.7821, 0.0000)
Pm (0.2899, 0.0659, 0.5000)
Pm (0.5000, 0.5000, 0.5000)
Pm (0.7101, 0.9341, 0.5000)
Pm (0.7821, 0.2179, 0.0000)
Pm (0.9341, 0.7101, 0.5000)
Th (0.2958, 0.7042, 0.5000)
Th (0.7042, 0.2958, 0.5000)

Properties
Formation energy from the elements (meV per atom): 722
E (eV per atom): -4.55
Space-group type: Cmmm (65)
V (Å³ per atom): 41.62
DOS(E_F) (states/eV per cell): 16.27

---

Entry 18:
ZrInAg2: relaxed, PBE.

Cell: 3.1999 5.0624 10.0747 Å, 90.00 90.00 90.00°
Positions (direct):
Zr (0.0000, 0.0000, 0.0000)
Zr (0.5000, 0.5000, 0.5000)
In (0.0000, 0.5000, 0.2386)
In (0.5000, 0.0000, 0.7386)
Ag (0.0000, 0.0000, 0.5040)
Ag (0.0000, 0.5000, 0.7643)
Ag (0.5000, 0.0000, 0.2643)
Ag (0.5000, 0.5000, 0.0040)

Properties
Formation energy from the elements (meV per atom): 20
E (eV per atom): -4.23
Space-group type: Imm2 (44)
V (Å³ per atom): 20.40
DOS(E_F) (states/eV per cell): 6.68

---

Entry 19:
YBeTl: relaxed, PBE.

Cell: 6.8406 6.8406 6.8406 Å, 90.00 90.00 90.00°
Positions (direct):
Y (0.0000, 0.0000, 0.0000)
Y (0.0000, 0.5000, 0.5000)
Y (0.5000, 0.0000, 0.5000)
Y (0.5000, 0.5000, 0.0000)
Be (0.2500, 0.2500, 0.7500)
Be (0.2500, 0.7500, 0.2500)
Be (0.7500, 0.2500, 0.2500)
Be (0.7500, 0.7500, 0.7500)
Tl (0.2500, 0.2500, 0.2500)
Tl (0.2500, 0.7500, 0.7500)
Tl (0.7500, 0.2500, 0.7500)
Tl (0.7500, 0.7500, 0.2500)

Properties
Formation energy from the elements (meV per atom): 580
E (eV per atom): -3.61
Polymorph energy (0 for the lowest one) (eV per atom): 0.6994
Space-group type: F-43m (216)
V (Å³ per atom): 26.67
DOS(E_F) (states/eV per cell): 7.30

---

Entry 20:
Ce2Dy3PuP6: relaxed, PBE.

Cell: 9.0121 9.0121 8.0494 Å, 102.84 102.84 25.89°
Positions (direct):
Ce (0.1656, 0.1656, 0.3316)
Ce (0.8344, 0.8344, 0.6684)
Dy (0.1669, 0.1669, 0.8340)
Dy (0.5000, 0.5000, 0.5000)
Dy (0.8331, 0.8331, 0.1660)
Pu (0.5000, 0.5000, 0.0000)
P (0.0009, 0.0009, 0.7528)
P (0.3336, 0.3336, 0.4153)
P (0.3337, 0.3337, 0.9186)
P (0.6663, 0.6663, 0.0814)
P (0.6664, 0.6664, 0.5847)
P (0.9991, 0.9991, 0.2472)

Properties
Formation energy from the elements (meV per atom): -1500
E (eV per atom): -7.54
Space-group type: C2/m (12)
V (Å³ per atom): 23.16
DOS(E_F) (states/eV per cell): 18.37